Here is a relaxed structure of Dy3HfTl4S8 from the Alexandria database. Energies are from PBE-GGA.

CIF file:
```
data_Dy3HfTl4S8
_space_group_name_H-M_alt 'P 1'
_space_group_IT_number 1
_space_group_name_Hall 'P 1'
_cell_length_a 9.093
_cell_length_b 9.093
_cell_length_c 9.093
_cell_angle_alpha 50.97
_cell_angle_beta 50.97
_cell_angle_gamma 50.97
loop_
_atom_site_label
_atom_site_fract_x
_atom_site_fract_y
_atom_site_fract_z
_atom_site_occupancy
Dy1 0.000 0.500 0.500 1
Dy2 0.500 0.000 0.500 1
Dy3 0.500 0.500 0.000 1
Hf1 0.000 0.000 0.000 1
Tl1 0.000 0.000 0.500 1
Tl2 0.000 0.500 0.000 1
Tl3 0.500 0.000 0.000 1
Tl4 0.500 0.500 0.500 1
S1 0.219 0.219 0.748 1
S2 0.219 0.748 0.219 1
S3 0.252 0.781 0.781 1
S4 0.269 0.269 0.269 1
S5 0.731 0.731 0.731 1
S6 0.748 0.219 0.219 1
S7 0.781 0.252 0.781 1
S8 0.781 0.781 0.252 1
```

Computed properties:
DOS(E_F): 0.28 states/eV/atom
Electronic total energy: -5.5154 eV/atom
Mass density: 6.90 g/cm³
Formation energy (no corrections): -1.38 eV/atom
Crystal system: trigonal

***

Here is a relaxed structure of TbYPt6 from the Alexandria database. Energies are from PBE-GGA.

CIF file:
```
data_TbYPt6
_space_group_name_H-M_alt 'P 1'
_space_group_IT_number 1
_space_group_name_Hall 'P 1'
_cell_length_a 5.306
_cell_length_b 5.306
_cell_length_c 5.306
_cell_angle_alpha 90.00
_cell_angle_beta 90.00
_cell_angle_gamma 90.00
loop_
_atom_site_label
_atom_site_fract_x
_atom_site_fract_y
_atom_site_fract_z
_atom_site_occupancy
Tb1 0.000 0.000 0.000 1
Y1 0.500 0.500 0.500 1
Pt1 0.000 0.500 0.250 1
Pt2 0.000 0.500 0.750 1
Pt3 0.250 0.000 0.500 1
Pt4 0.500 0.250 0.000 1
Pt5 0.500 0.750 0.000 1
Pt6 0.750 0.000 0.500 1
```

Computed properties:
DOS(E_F): 1.57 states/eV/atom
Electronic total energy: -6.5914 eV/atom
ΔH_f (0 K): -674 meV per atom
ΔE to the lowest computed polymorph: 2.68 eV per formula unit
Mass density: 15.76 g/cm³
Crystal system: cubic